SrAcPb (PBE, optimized geometry); final energy = -3.475 eV per atom; energy of formation from the pure elements = -308 meV per atom
1.0
-1.9774 1.9774 7.8398
1.9774 -1.9774 7.8398
1.9774 1.9774 -7.8398
Sr Ac Pb
1 1 1
direct
0.0000 0.0000 0.0000
0.7159 0.7159 0.0000
0.3571 0.3571 0.0000